# 1
K2GaO | PBE | optimized geometry

The structure belongs to space group Fm-3m (No. 225); the cell edges are 7.4278, 7.4278 and 7.4278 Å and the angles 90.00°, 90.00° and 90.00°. The distinct sites, in fractional coordinates, are K at (0.2500, 0.2500, 0.2500), Ga at (0.0000, 0.0000, 0.0000) and O at (0.0000, 0.0000, 0.5000).

The formation energy from raw total energies is -0.03 eV/atom.

***

# 2
NdDy2Y2Tm | PBE | optimized geometry

The structure belongs to space group Pnnm (No. 58); the cell edges are 6.0723, 18.2112 and 3.5314 Å and the angles 90.00°, 90.00° and 90.00°. The distinct sites, in fractional coordinates, are Nd at (0.0000, 0.0000, 0.0000), Dy at (0.1688, 0.1553, 0.5000), Y at (0.1678, 0.3408, 0.5000) and Tm at (0.0000, 0.5000, 0.0000).

The formation energy comes out at 0.637 eV/f.u.

***

# 3
CsTlPtCl6 | PBE | optimized geometry

The structure belongs to space group P312 (No. 149); the cell edges are 6.8024, 6.8024 and 7.8068 Å and the angles 90.00°, 90.00° and 120.00°. The distinct sites, in fractional coordinates, are Cs at (0.0000, 0.0000, 0.0000), Tl at (0.6667, 0.3333, 0.5000), Pt at (0.3333, 0.6667, 0.5000) and Cl at (0.0139, 0.3764, 0.6863).

The formation energy from raw total energies is -0.79 eV/atom.

***

# 4
Hf2FeRu2 | PBE | optimized geometry

The structure belongs to space group P4/mbm (No. 127); the cell edges are 6.4341, 6.4341 and 4.1411 Å and the angles 90.00°, 90.00° and 90.00°. The distinct sites, in fractional coordinates, are Hf at (0.1784, 0.3216, 0.0000), Fe at (0.0000, 0.0000, 0.5000) and Ru at (0.1398, 0.6398, 0.5000).

The formation energy comes out at -1.225 eV/f.u. The value obtained for the energy above the lowest structure with this stoichiometry is 0.0 kJ/mol of formula units.

***

# 5
HfMgPS2 | PBE | optimized geometry

The structure belongs to space group P4/mmm (No. 123); the cell edges are 4.5852, 4.5852 and 4.7751 Å and the angles 90.00°, 90.00° and 90.00°. The distinct sites, in fractional coordinates, are Hf at (0.0000, 0.0000, 0.0000), Mg at (0.5000, 0.5000, 0.5000), P at (0.5000, 0.5000, 0.0000) and S at (0.0000, 0.5000, 0.5000).

The value obtained for the energy above the lowest structure with this stoichiometry is 319.0 kJ/mol of formula units. The formation energy from raw total energies is 0.22 eV/atom.

***

# 6
ScHg | PBE | optimized geometry

The structure belongs to space group I4/m (No. 87); the cell edges are 10.8913, 10.8913 and 3.3714 Å and the angles 90.00°, 90.00° and 90.00°. The distinct sites, in fractional coordinates, are Sc at (0.1078, 0.6385, 0.0000) and Hg at (0.0876, 0.1710, 0.0000).

The formation energy comes out at -0.189 eV/f.u.

***

# 7
La2ScTc | PBE | optimized geometry

The structure belongs to space group R3m (No. 160, hexagonal axes); the cell edges are 3.4933, 3.4933 and 30.1150 Å and the angles 90.00°, 90.00° and 120.00°. The distinct sites, in fractional coordinates, are La at (0.0000, 0.0000, 0.0000), La at (0.0000, 0.0000, 0.2305), Sc at (0.0000, 0.0000, 0.4638) and Tc at (0.0000, 0.0000, 0.7368).

The formation energy comes out at 0.806 eV/f.u. The value obtained for the energy above the lowest structure with this stoichiometry is 65.8 kJ/mol of formula units.

***

# 8
BaScSi2 | PBE | optimized geometry

The structure belongs to space group Cm (No. 8); the cell edges are 10.3890, 3.9581 and 5.5300 Å and the angles 90.00°, 95.31° and 90.00°. The distinct sites, in fractional coordinates, are Ba at (0.0000, 0.0000, 0.0000), Sc at (0.2373, 0.5000, 0.5150), Si at (0.2857, 0.0000, 0.2018) and Si at (0.4590, 0.0000, 0.4956).

The value obtained for the energy above the lowest structure with this stoichiometry is 100.3 kJ/mol of formula units. The formation energy from raw total energies is -0.18 eV/atom.